# 1
A plane-wave DFT calculation with PBE was carried out for LaHo4Mg after structural relaxation.

abc: 3.6177 3.6177 14.1217
angles: 90.00 90.00 90.00
Closest atoms and distances in Å follow each position.
Atoms (fractional coordinates):
La (0.0000, 0.0000, 0.0000)  4 La 3.62, 8 Ho 3.63
Ho (0.5000, 0.5000, 0.1822)  8 Ho 3.50-3.62, 4 La 3.63
Ho (0.0000, 0.0000, 0.6484)  4 Mg 3.31, 8 Ho 3.50-3.62
Ho (0.0000, 0.0000, 0.3516)  4 Mg 3.31, 8 Ho 3.50-3.62
Ho (0.5000, 0.5000, 0.8178)  8 Ho 3.50-3.62, 4 La 3.63
Mg (0.5000, 0.5000, 0.5000)  8 Ho 3.31, 4 Mg 3.62

Results
Relative energy among the computed polymorphs = 0 meV per atom
VASP energy = -4.142 eV per atom
Space-group type = No. 123
ΔH_f (0 K) = -0.003 eV per atom

# 2
A plane-wave DFT calculation with PBE was carried out for U2Br5F after structural relaxation.

abc: 3.5416 7.6303 20.7173
angles: 90.00 90.00 103.42
Closest atoms and distances in Å follow each position.
Atoms (fractional coordinates):
U (0.7535, 0.5069, 0.3339)  2 F 2.62, 4 Br 2.89-2.90
U (0.7535, 0.5069, 0.1661)  2 F 2.62, 4 Br 2.89-2.90
U (0.2465, 0.4931, 0.6661)  2 F 2.62, 4 Br 2.89-2.90
U (0.2465, 0.4931, 0.8339)  2 F 2.62, 4 Br 2.89-2.90
Br (0.8849, 0.7697, 0.8837)  2 U 2.90, 1 F 3.03
Br (0.8849, 0.7697, 0.6163)  2 U 2.90, 1 F 3.03
Br (0.3483, 0.6966, 0.4206)  2 U 2.89
Br (0.3483, 0.6966, 0.0794)  2 U 2.89
Br (0.3864, 0.7729, 0.2500)  1 F 2.80
Br (0.6136, 0.2271, 0.7500)  1 F 2.80
Br (0.6517, 0.3034, 0.5794)  2 U 2.89
Br (0.6517, 0.3034, 0.9206)  2 U 2.89
Br (0.1151, 0.2303, 0.1163)  2 U 2.90, 1 F 3.03
Br (0.1151, 0.2303, 0.3837)  2 U 2.90, 1 F 3.03
F (0.8022, 0.6044, 0.7500)  4 U 2.62, 1 Br 2.80
F (0.1978, 0.3956, 0.2500)  4 U 2.62, 1 Br 2.80

Results
VASP energy = -5.572 eV per atom
Formation energy (no corrections) = -1.47 eV per atom
Space-group type = No. 63

# 3
A plane-wave DFT calculation with PBE was carried out for ScCrMo2 after structural relaxation.

abc: 4.4408 4.4408 4.4408
angles: 60.00 60.00 60.00
Closest atoms and distances in Å follow each position.
Atoms (fractional coordinates):
Sc (0.0000, 0.0000, 0.0000)  8 Mo 2.72
Cr (0.5000, 0.5000, 0.5000)  8 Mo 2.72
Mo (0.2500, 0.2500, 0.2500)  4 Cr 2.72, 4 Sc 2.72
Mo (0.7500, 0.7500, 0.7500)  4 Cr 2.72, 4 Sc 2.72

Results
Relative energy among the computed polymorphs = 124 meV per atom
VASP energy = -9.155 eV per atom
Space-group type = No. 225
ΔH_f (0 K) = 0.249 eV per atom

# 4
A plane-wave DFT calculation with PBE was carried out for AlTl2Ni after structural relaxation.

abc: 3.1894 3.1894 8.2331
angles: 90.00 90.00 90.00
Closest atoms and distances in Å follow each position.
Atoms (fractional coordinates):
Ni (0.5000, 0.5000, 0.7500)  8 Tl 2.84
Tl (0.0000, 0.0000, 0.9596)  4 Ni 2.84
Tl (0.0000, 0.0000, 0.5404)  4 Ni 2.84
Al (0.5000, 0.5000, 0.2500)  4 Al 3.19, 8 Tl 3.29

Results
Relative energy among the computed polymorphs = 338 meV per atom
VASP energy = -3.198 eV per atom
Space-group type = No. 123
ΔH_f (0 K) = 0.366 eV per atom

# 5
A plane-wave DFT calculation with PBE was carried out for AsIrSeBr2 after structural relaxation.

abc: 5.0456 5.0456 4.8516
angles: 90.00 90.00 90.00
Closest atoms and distances in Å follow each position.
Atoms (fractional coordinates):
As (0.5000, 0.5000, 0.5000)  8 Br 3.50, 4 Se 3.57
Ir (0.0000, 0.0000, 0.0000)  2 Se 2.43, 4 Br 2.52
Se (0.0000, 0.0000, 0.5000)  2 Ir 2.43
Br (0.0000, 0.5000, 0.0000)  2 Ir 2.52
Br (0.5000, 0.0000, 0.0000)  2 Ir 2.52

Results
Relative energy among the computed polymorphs = 44 meV per atom
VASP energy = -3.448 eV per atom
Formation energy (no corrections) = 0.62 eV per atom
Space-group type = No. 123

# 6
A plane-wave DFT calculation with PBE was carried out for Hg3GeCl after structural relaxation.

abc: 5.5926 5.5926 5.5926
angles: 90.00 90.00 90.00
Closest atoms and distances in Å follow each position.
Atoms (fractional coordinates):
Ge (0.5000, 0.5000, 0.5000)  12 Hg 3.95
Hg (0.0000, 0.5000, 0.0000)  2 Cl 2.80
Hg (0.0000, 0.0000, 0.5000)  2 Cl 2.80
Hg (0.5000, 0.0000, 0.0000)  2 Cl 2.80
Cl (0.0000, 0.0000, 0.0000)  6 Hg 2.80

Results
Relative energy among the computed polymorphs = 708 meV per atom
VASP energy = -0.857 eV per atom
Formation energy (no corrections) = 0.62 eV per atom
Space-group type = No. 221

# 7
A plane-wave DFT calculation with PBE was carried out for KCoGe2As after structural relaxation.

abc: 4.5310 5.5120 4.5310
angles: 90.00 90.00 90.00
Closest atoms and distances in Å follow each position.
Atoms (fractional coordinates):
K (0.0000, 0.5000, 0.0000)  2 Co 2.76
As (0.5000, 0.5000, 0.5000)  4 K 3.20, 8 Ge 3.57
Co (0.0000, 0.0000, 0.0000)  4 Ge 2.27
Ge (0.0000, 0.0000, 0.5000)  2 Co 2.27
Ge (0.5000, 0.0000, 0.0000)  2 Co 2.27

Results
VASP energy = -4.057 eV per atom
Space-group type = No. 123
ΔH_f (0 K) = 0.361 eV per atom

# 8
A plane-wave DFT calculation with PBE was carried out for Zr2TaRu after structural relaxation.

abc: 4.7742 4.7742 3.3179
angles: 90.00 90.00 89.99
Closest atoms and distances in Å follow each position.
Atoms (fractional coordinates):
Ru (0.5000, 0.0000, 0.5000)  8 Zr 2.91
Ta (0.0000, 0.5000, 0.5000)  8 Zr 2.91
Zr (0.0000, 0.0000, 0.0000)  4 Ta 2.91, 4 Ru 2.91
Zr (0.5000, 0.5000, 0.0000)  4 Ru 2.91, 4 Ta 2.91

Results
Relative energy among the computed polymorphs = 93 meV per atom
VASP energy = -9.710 eV per atom
Space-group type = No. 123
ΔH_f (0 K) = -0.154 eV per atom

# 9
A plane-wave DFT calculation with PBE was carried out for Tb6Te3C after structural relaxation.

abc: 6.9858 9.3509 9.3509
angles: 101.74 90.00 90.00
Closest atoms and distances in Å follow each position.
Atoms (fractional coordinates):
Tb (0.1790, 0.7104, 0.6128)  4 Te 3.01-3.14
Tb (0.6790, 0.6128, 0.7104)  4 Te 3.01-3.14
Tb (0.1729, 0.4245, 0.8960)  1 C 2.31
Tb (0.6729, 0.8960, 0.4245)  1 C 2.31
Tb (0.1613, 0.0532, 0.9468)  1 C 2.23
Tb (0.7259, 0.2285, 0.7715)  1 C 2.28
Tb (0.2259, 0.7715, 0.2285)  1 C 2.28
Tb (0.6613, 0.9468, 0.0532)  1 C 2.23
Tb (0.1729, 0.1040, 0.5755)  1 C 2.31
Tb (0.6729, 0.5755, 0.1040)  1 C 2.31
Tb (0.1790, 0.3872, 0.2896)  4 Te 3.01-3.14
Tb (0.6790, 0.2896, 0.3872)  4 Te 3.01-3.14
Te (0.4938, 0.9227, 0.7367)  7 Tb 3.03-3.35
Te (0.9938, 0.7367, 0.9227)  7 Tb 3.03-3.35
Te (0.3619, 0.4024, 0.5976)  6 Tb 3.01-3.13
Te (0.8619, 0.5976, 0.4024)  6 Tb 3.01-3.13
Te (0.9938, 0.0773, 0.2633)  7 Tb 3.03-3.35
Te (0.4938, 0.2633, 0.0773)  7 Tb 3.03-3.35
C (0.0449, 0.1963, 0.8037)  4 Tb 2.23-2.31
C (0.5449, 0.8037, 0.1963)  4 Tb 2.23-2.31

Results
VASP energy = -5.349 eV per atom
Formation energy (no corrections) = -0.71 eV per atom
Space-group type = No. 36

# 10
A plane-wave DFT calculation with PBE was carried out for Na2CdPb2 after structural relaxation.

abc: 9.0188 9.0188 3.6874
angles: 90.00 90.00 90.00
Closest atoms and distances in Å follow each position.
Atoms (fractional coordinates):
Pb (0.1224, 0.6224, 0.5000)  1 Pb 3.12, 6 Na 3.16-3.30
Pb (0.6224, 0.8776, 0.5000)  1 Pb 3.12, 6 Na 3.16-3.30
Pb (0.8776, 0.3776, 0.5000)  1 Pb 3.12, 6 Na 3.16-3.30
Pb (0.3776, 0.1224, 0.5000)  1 Pb 3.12, 6 Na 3.16-3.30
Na (0.3239, 0.8239, 0.0000)  6 Pb 3.16-3.30, 2 Cd 3.32
Na (0.8239, 0.6761, 0.0000)  6 Pb 3.16-3.30, 2 Cd 3.32
Na (0.6761, 0.1761, 0.0000)  6 Pb 3.16-3.30, 2 Cd 3.32
Na (0.1761, 0.3239, 0.0000)  6 Pb 3.16-3.30, 2 Cd 3.32
Cd (0.0000, 0.0000, 0.0000)  4 Na 3.32, 2 Cd 3.69
Cd (0.5000, 0.5000, 0.0000)  4 Na 3.32, 2 Cd 3.69

Results
Relative energy among the computed polymorphs = 120 meV per atom
VASP energy = -2.172 eV per atom
Space-group type = No. 127
ΔH_f (0 K) = 0.022 eV per atom

# 11
A plane-wave DFT calculation with PBE was carried out for PuThPt2 after structural relaxation.

abc: 4.1227 4.1227 7.4020
angles: 73.83 73.83 60.00
Closest atoms and distances in Å follow each position.
Atoms (fractional coordinates):
Pu (0.6695, 0.6695, 0.9916)  6 Pt 2.92-3.00
Th (0.4980, 0.4980, 0.5059)  6 Pt 2.94-2.98
Pt (0.0829, 0.0829, 0.7513)  3 Pu 2.92, 3 Th 2.94
Pt (0.2496, 0.2496, 0.2512)  3 Th 2.98, 3 Pu 3.00

Results
Relative energy among the computed polymorphs = 144 meV per atom
VASP energy = -9.327 eV per atom
Space-group type = No. 160
ΔH_f (0 K) = -0.868 eV per atom

# 12
A plane-wave DFT calculation with PBE was carried out for Cr2RuBr after structural relaxation.

abc: 4.3911 4.3911 4.3911
angles: 60.00 60.00 60.00
Closest atoms and distances in Å follow each position.
Atoms (fractional coordinates):
Br (0.5000, 0.5000, 0.5000)  4 Ru 2.69, 4 Cr 2.69
Cr (0.0000, 0.0000, 0.0000)  4 Cr 2.69, 4 Ru 2.69
Cr (0.7500, 0.7500, 0.7500)  4 Cr 2.69, 4 Br 2.69
Ru (0.2500, 0.2500, 0.2500)  4 Cr 2.69, 4 Br 2.69

Results
Relative energy among the computed polymorphs = 434 meV per atom
VASP energy = -6.646 eV per atom
Formation energy (no corrections) = 0.90 eV per atom
Space-group type = No. 216

# 13
A plane-wave DFT calculation with PBE was carried out for B2As2N after structural relaxation.

abc: 6.0930 6.0930 3.3604
angles: 90.00 90.00 90.00
Closest atoms and distances in Å follow each position.
Atoms (fractional coordinates):
As (0.2338, 0.7338, 0.0000)  2 B 2.08, 2 N 2.16
As (0.7338, 0.7662, 0.0000)  2 B 2.08, 2 N 2.16
As (0.7662, 0.2662, 0.0000)  2 B 2.08, 2 N 2.16
As (0.2662, 0.2338, 0.0000)  2 B 2.08, 2 N 2.16
B (0.0924, 0.5924, 0.5000)  1 B 1.59
B (0.5924, 0.9076, 0.5000)  1 B 1.59
B (0.9076, 0.4076, 0.5000)  1 B 1.59
B (0.4076, 0.0924, 0.5000)  1 B 1.59
N (0.0000, 0.0000, 0.0000)  4 As 2.16
N (0.5000, 0.5000, 0.0000)  4 As 2.16

Results
Relative energy among the computed polymorphs = 0 meV per atom
VASP energy = -5.180 eV per atom
Formation energy (no corrections) = 1.02 eV per atom
Space-group type = No. 127